# 1
Below is a relaxed structure of BaTl3Hg3, with properties calculated at the GGA-PBE level.

Total energy, eV per atom: -1.6201
Distance to the lowest polymorph of the same formula, eV/f.u.: 0.00
Crystal system: cubic
Formation energy, meV per atom: -202

Lattice parameters (Å, degrees): 9.595 9.595 9.595 90.00 90.00 90.00
Element x y z (fractional)
Ba: 0.044 0.456 0.544
Ba: 0.456 0.544 0.044
Ba: 0.544 0.044 0.456
Ba: 0.956 0.956 0.956
Tl: 0.120 0.620 0.880
Tl: 0.172 0.828 0.328
Tl: 0.179 0.179 0.179
Tl: 0.321 0.821 0.679
Tl: 0.328 0.172 0.828
Tl: 0.380 0.380 0.380
Tl: 0.620 0.880 0.120
Tl: 0.672 0.672 0.672
Tl: 0.679 0.321 0.821
Tl: 0.821 0.679 0.321
Tl: 0.828 0.328 0.172
Tl: 0.880 0.120 0.620
Hg: 0.027 0.307 0.888
Hg: 0.112 0.527 0.193
Hg: 0.193 0.112 0.527
Hg: 0.307 0.888 0.027
Hg: 0.388 0.473 0.693
Hg: 0.473 0.693 0.388
Hg: 0.527 0.193 0.112
Hg: 0.612 0.973 0.807
Hg: 0.693 0.388 0.473
Hg: 0.807 0.612 0.973
Hg: 0.888 0.027 0.307
Hg: 0.973 0.807 0.612

---

# 2
Below is a relaxed structure of Ba12TlHg6, with properties calculated at the GGA-PBE level.

Total energy, eV per atom: -1.7610
Crystal system: cubic
Formation energy, meV per atom: -327

Lattice parameters (Å, degrees): 10.379 10.379 10.379 109.47 109.47 109.47
Element x y z (fractional)
Ba: 0.118 0.824 0.294
Ba: 0.176 0.294 0.470
Ba: 0.176 0.706 0.882
Ba: 0.294 0.118 0.824
Ba: 0.294 0.470 0.176
Ba: 0.470 0.176 0.294
Ba: 0.530 0.824 0.706
Ba: 0.706 0.530 0.824
Ba: 0.706 0.882 0.176
Ba: 0.824 0.294 0.118
Ba: 0.824 0.706 0.530
Ba: 0.882 0.176 0.706
Tl: 0.000 0.000 0.000
Hg: 0.132 0.632 0.500
Hg: 0.368 0.500 0.868
Hg: 0.500 0.132 0.632
Hg: 0.500 0.868 0.368
Hg: 0.632 0.500 0.132
Hg: 0.868 0.368 0.500

---

# 3
Below is a relaxed structure of Ba3TlHg, with properties calculated at the GGA-PBE level.

Total energy, eV per atom: -2.0886
Distance to the lowest polymorph of the same formula, eV/f.u.: 0.00
Crystal system: orthorhombic
Formation energy, meV per atom: -401

Lattice parameters (Å, degrees): 12.153 12.153 6.087 90.00 90.00 150.98
Element x y z (fractional)
Ba: 0.076 0.924 0.750
Ba: 0.249 0.751 0.750
Ba: 0.422 0.578 0.750
Ba: 0.578 0.422 0.250
Ba: 0.751 0.249 0.250
Ba: 0.924 0.076 0.250
Tl: 0.158 0.842 0.250
Tl: 0.842 0.158 0.750
Hg: 0.341 0.659 0.250
Hg: 0.659 0.341 0.750

---

# 4
Below is a relaxed structure of BaTl5Hg6, with properties calculated at the GGA-PBE level.

Total energy, eV per atom: -1.4449
Crystal system: orthorhombic
Formation energy, meV per atom: -148

Lattice parameters (Å, degrees): 9.502 9.502 9.502 147.96 127.58 62.77
Element x y z (fractional)
Ba: 0.000 0.000 0.000
Tl: 0.166 0.666 0.500
Tl: 0.327 0.327 0.000
Tl: 0.500 0.000 0.500
Tl: 0.673 0.673 0.000
Tl: 0.834 0.334 0.500
Hg: 0.088 0.828 0.260
Hg: 0.276 0.500 0.776
Hg: 0.432 0.172 0.260
Hg: 0.568 0.828 0.740
Hg: 0.724 0.500 0.224
Hg: 0.912 0.172 0.740

---

- Which formula does entry 3 have?
  Ba3TlHg